Entry 1:
Density functional theory data (PBE-GGA) for a geometry-optimized La4TbNd2Er structure.

## Properties
As for the magnetization: 0.0 Bohr magnetons per cell. Its space group is No. 10. The calculation puts the formation energy at 0.015 eV/atom.

The structure in POSCAR format:
```
La4TbNd2Er
1.0
5.219 0.000 0.000
0.000 5.257 0.000
-0.012 0.000 10.221
La Tb Nd Er
4 1 2 1
Direct
0.000 0.000 0.249 La
0.000 0.000 0.751 La
0.499 0.500 0.750 La
0.501 0.500 0.250 La
0.000 0.500 0.500 Tb
0.000 0.500 0.000 Nd
0.500 0.000 0.500 Nd
0.500 0.000 0.000 Er
```

Entry 2:
Density functional theory data (PBE-GGA) for a geometry-optimized LaTb2Nd6Er3 structure.

## Properties
As for the magnetization: 0.0 Bohr magnetons per cell. Its space group is No. 12. The calculation puts the formation energy at 0.018 eV/atom.

The structure in POSCAR format:
```
LaTb2Nd6Er3
1.0
3.146 -5.451 0.000
3.146 5.451 0.000
-2.096 0.000 11.754
La Tb Nd Er
1 2 6 3
Direct
0.000 0.000 0.000 La
0.333 0.667 0.000 Tb
0.667 0.333 0.000 Tb
0.085 0.419 0.254 Nd
0.249 0.249 0.746 Nd
0.419 0.085 0.254 Nd
0.581 0.915 0.746 Nd
0.751 0.751 0.254 Nd
0.915 0.581 0.746 Nd
0.167 0.833 0.500 Er
0.500 0.500 0.500 Er
0.833 0.167 0.500 Er
```

Entry 3:
Density functional theory data (PBE-GGA) for a geometry-optimized La2Tb4NdEr structure.

## Properties
As for the magnetization: 0.0 Bohr magnetons per cell. Its space group is No. 47. The calculation puts the formation energy at 0.028 eV/atom.

The structure in POSCAR format:
```
La2Tb4NdEr
1.0
5.124 0.000 0.000
0.000 5.154 0.000
0.000 0.000 10.159
La Tb Nd Er
2 4 1 1
Direct
0.000 0.000 0.000 La
0.500 0.500 0.500 La
0.000 0.500 0.248 Tb
0.000 0.500 0.752 Tb
0.500 0.000 0.248 Tb
0.500 0.000 0.752 Tb
0.000 0.000 0.500 Nd
0.500 0.500 0.000 Er
```

Entry 4:
Density functional theory data (PBE-GGA) for a geometry-optimized La2TbNdEr structure.

## Properties
As for the magnetization: 0.0 Bohr magnetons per cell. Its space group is No. 51. The calculation puts the formation energy at 0.219 eV/atom.

The structure in POSCAR format:
```
La2TbNdEr
1.0
6.517 0.000 0.000
0.000 7.906 0.000
0.000 0.000 6.770
La Tb Nd Er
4 2 2 2
Direct
0.250 0.203 0.213 La
0.250 0.797 0.213 La
0.750 0.203 0.787 La
0.750 0.797 0.787 La
0.250 0.000 0.686 Tb
0.750 0.000 0.314 Tb
0.250 0.500 0.911 Nd
0.750 0.500 0.089 Nd
0.000 0.500 0.500 Er
0.500 0.500 0.500 Er
```

Entry 5:
Density functional theory data (PBE-GGA) for a geometry-optimized LaTbNd6Er2 structure.

## Properties
As for the magnetization: 0.0 Bohr magnetons per cell. Its space group is No. 15. The calculation puts the formation energy at 0.113 eV/atom.

The structure in POSCAR format:
```
LaTbNd6Er2
1.0
4.661 -7.658 0.000
4.661 7.658 0.000
-1.368 0.000 9.689
La Tb Nd Er
2 2 12 4
Direct
0.094 0.906 0.750 La
0.906 0.094 0.250 La
0.469 0.531 0.250 Tb
0.531 0.469 0.750 Tb
0.010 0.796 0.380 Nd
0.066 0.518 0.182 Nd
0.204 0.990 0.120 Nd
0.260 0.609 0.555 Nd
0.391 0.740 0.945 Nd
0.482 0.934 0.318 Nd
0.518 0.066 0.682 Nd
0.609 0.260 0.055 Nd
0.740 0.391 0.445 Nd
0.796 0.010 0.880 Nd
0.934 0.482 0.818 Nd
0.990 0.204 0.620 Nd
0.209 0.305 0.953 Er
0.305 0.209 0.453 Er
0.695 0.791 0.547 Er
0.791 0.695 0.047 Er
```

Entry 6:
Density functional theory data (PBE-GGA) for a geometry-optimized La2Tb2NdEr structure.

## Properties
As for the magnetization: 0.0 Bohr magnetons per cell. Its space group is No. 51. The calculation puts the formation energy at 0.067 eV/atom.

The structure in POSCAR format:
```
La2Tb2NdEr
1.0
7.092 0.000 0.000
0.000 5.744 0.000
0.000 0.000 9.997
La Tb Nd Er
4 4 2 2
Direct
0.000 0.000 0.000 La
0.250 0.500 0.170 La
0.500 0.000 0.000 La
0.750 0.500 0.830 La
0.250 0.000 0.334 Tb
0.250 0.500 0.833 Tb
0.750 0.000 0.666 Tb
0.750 0.500 0.167 Tb
0.000 0.500 0.500 Nd
0.500 0.500 0.500 Nd
0.250 0.000 0.663 Er
0.750 0.000 0.337 Er
```

Entry 7:
Density functional theory data (PBE-GGA) for a geometry-optimized La3Tb2NdEr6 structure.

## Properties
As for the magnetization: 0.0 Bohr magnetons per cell. Its space group is No. 12. The calculation puts the formation energy at 0.019 eV/atom.

The structure in POSCAR format:
```
La3Tb2NdEr6
1.0
3.117 -5.397 0.000
3.117 5.397 0.000
-2.073 0.000 11.607
La Tb Nd Er
3 2 1 6
Direct
0.000 0.000 0.000 La
0.333 0.667 0.000 La
0.667 0.333 0.000 La
0.167 0.833 0.500 Tb
0.833 0.167 0.500 Tb
0.500 0.500 0.500 Nd
0.084 0.418 0.254 Er
0.248 0.248 0.746 Er
0.418 0.084 0.254 Er
0.582 0.916 0.746 Er
0.752 0.752 0.254 Er
0.916 0.582 0.746 Er
```

Entry 8:
Density functional theory data (PBE-GGA) for a geometry-optimized LaTb5Nd2Er structure.

## Properties
As for the magnetization: 0.0 Bohr magnetons per cell. Its space group is No. 140. The calculation puts the formation energy at 0.263 eV/atom.

The structure in POSCAR format:
```
LaTb5Nd2Er
1.0
-4.392 4.392 7.829
4.392 -4.392 7.829
4.392 4.392 -7.829
La Tb Nd Er
2 10 4 2
Direct
0.250 0.250 0.000 La
0.750 0.750 0.000 La
0.000 0.000 0.000 Tb
0.072 0.572 0.919 Tb
0.154 0.072 0.500 Tb
0.346 0.846 0.919 Tb
0.428 0.346 0.500 Tb
0.500 0.500 0.000 Tb
0.572 0.654 0.500 Tb
0.654 0.154 0.081 Tb
0.846 0.928 0.500 Tb
0.928 0.428 0.081 Tb
0.117 0.383 0.500 Nd
0.383 0.883 0.265 Nd
0.617 0.117 0.735 Nd
0.883 0.617 0.500 Nd
0.250 0.750 0.500 Er
0.750 0.250 0.500 Er
```

Number 1: ρ 6.929 g cm⁻³. Number 2: ρ 7.513 g cm⁻³. Number 3: ρ 7.582 g cm⁻³. Number 4: ρ 7.124 g cm⁻³. Number 5: ρ 7.191 g cm⁻³. Number 6: ρ 7.397 g cm⁻³. Number 7: ρ 8.004 g cm⁻³. Number 8: ρ 7.637 g cm⁻³.